Entry 1:
Here is a PBEsol-optimized structure of MgBeCd2 from Alexandria via LeMat-Bulk. Energies are from SCAN. Values from VASP.

```
&SYSTEM
  ibrav = 0, nat = 4, ntyp = 3
/
ATOMIC_SPECIES
Mg 24.30 Mg.upf
Be 9.01 Be.upf
Cd 112.41 Cd.upf
CELL_PARAMETERS angstrom
4.1883 0.0000 0.0000
0.0000 4.1883 0.0000
0.0000 0.0000 4.0147
ATOMIC_POSITIONS crystal
Mg 0.0000 0.0000 0.0000
Be 0.5000 0.5000 0.0000
Cd 0.0000 0.5000 0.5000
Cd 0.5000 0.0000 0.5000
```

- Calculated volume: 70 Å³/cell
- DOS at the Fermi energy: 1.4 states/eV/f.u.
- ΔH_f (0 K): 0.188 eV per atom

***

Entry 2:
Here is a PBEsol-optimized structure of Mg3BeCd from Alexandria via LeMat-Bulk. Energies are from SCAN. Values from VASP.

```
&SYSTEM
  ibrav = 0, nat = 5, ntyp = 3
/
ATOMIC_SPECIES
Mg 24.30 Mg.upf
Be 9.01 Be.upf
Cd 112.41 Cd.upf
CELL_PARAMETERS angstrom
5.1477 0.0000 0.0000
0.0000 5.1477 0.0000
0.0000 0.0000 5.1477
ATOMIC_POSITIONS crystal
Mg 0.0000 0.0000 0.5000
Mg 0.0000 0.5000 0.0000
Mg 0.5000 0.0000 0.0000
Be 0.5000 0.5000 0.5000
Cd 0.0000 0.0000 0.0000
```

- Calculated volume: 136 Å³/cell
- DOS at the Fermi energy: 2.8 states/eV/f.u.
- ΔH_f (0 K): 0.731 eV per atom

***

Entry 3:
Here is a PBEsol-optimized structure of MgBe2CdTc from Alexandria via LeMat-Bulk. Energies are from SCAN. Values from VASP.

```
&SYSTEM
  ibrav = 0, nat = 5, ntyp = 4
/
ATOMIC_SPECIES
Mg 24.30 Mg.upf
Be 9.01 Be.upf
Cd 112.41 Cd.upf
Tc 98.00 Tc.upf
CELL_PARAMETERS angstrom
4.2705 0.0000 0.0000
0.0000 4.2705 0.0000
0.0000 0.0000 5.0237
ATOMIC_POSITIONS crystal
Mg 0.0000 0.0000 0.0000
Be 0.0000 0.5000 0.5000
Be 0.5000 0.0000 0.5000
Cd 0.5000 0.5000 0.0000
Tc 0.5000 0.5000 0.5000
```

- Calculated volume: 92 Å³/cell
- DOS at the Fermi energy: 1.9 states/eV/f.u.
- ΔH_f (0 K): 0.768 eV per atom

***

What did the second record say?
Here is a PBEsol-optimized structure of Mg3BeCd from Alexandria via LeMat-Bulk. Energies are from SCAN. Values from VASP.

```
&SYSTEM
  ibrav = 0, nat = 5, ntyp = 3
/
ATOMIC_SPECIES
Mg 24.30 Mg.upf
Be 9.01 Be.upf
Cd 112.41 Cd.upf
CELL_PARAMETERS angstrom
5.1477 0.0000 0.0000
0.0000 5.1477 0.0000
0.0000 0.0000 5.1477
ATOMIC_POSITIONS crystal
Mg 0.0000 0.0000 0.5000
Mg 0.0000 0.5000 0.0000
Mg 0.5000 0.0000 0.0000
Be 0.5000 0.5000 0.5000
Cd 0.0000 0.0000 0.0000
```

- Calculated volume: 136 Å³/cell
- DOS at the Fermi energy: 2.8 states/eV/f.u.
- ΔH_f (0 K): 0.731 eV per atom